Arrangement i

Entry from Alexandria: a relaxed structure of SmThAs2 (PBE-GGA).

Values from the calculation:
Magnetization, μB per cell: 0.00

Unit cell a=7.624 b=7.624 c=7.624 alpha=31.85 beta=31.85 gamma=31.85
Atoms (fractional coordinates):
Sm1 0.000 0.000 0.000
Th1 0.826 0.826 0.826
As1 0.245 0.245 0.245
As2 0.413 0.413 0.413

Arrangement ii

Entry from Alexandria: a relaxed structure of SmThAs2 (PBE-GGA).

Values from the calculation:
Magnetization, μB per cell: 0.00

Unit cell a=4.216 b=4.216 c=13.974 alpha=90.00 beta=90.00 gamma=120.00
Atoms (fractional coordinates):
Sm1 0.333 0.667 0.250
Sm2 0.667 0.333 0.750
Th1 0.000 0.000 0.000
Th2 0.000 0.000 0.500
As1 0.333 0.667 0.623
As2 0.333 0.667 0.877
As3 0.667 0.333 0.123
As4 0.667 0.333 0.377

The most stable arrangement is arrangement ii, and the next structure is 0.104 eV/atom less stable.

Arrangement i

Entry from Alexandria: a relaxed structure of Sm3ThAs4 (PBE-GGA).

Values from the calculation:
Magnetization, μB per cell: 0.00

Unit cell a=5.978 b=5.978 c=5.978 alpha=90.00 beta=90.00 gamma=90.00
Atoms (fractional coordinates):
Sm1 0.000 0.000 0.500
Sm2 0.000 0.500 0.000
Sm3 0.500 0.000 0.000
Th1 0.500 0.500 0.500
As1 0.000 0.000 0.000
As2 0.000 0.500 0.500
As3 0.500 0.000 0.500
As4 0.500 0.500 0.000

Arrangement ii

Entry from Alexandria: a relaxed structure of Sm3ThAs4 (PBE-GGA).

Values from the calculation:
Magnetization, μB per cell: 0.00

Unit cell a=7.312 b=7.312 c=4.231 alpha=90.00 beta=90.00 gamma=109.46
Atoms (fractional coordinates):
Sm1 0.000 0.000 0.000
Sm2 0.000 0.500 0.500
Sm3 0.500 0.000 0.500
Th1 0.500 0.500 0.000
As1 0.250 0.250 0.500
As2 0.250 0.750 0.000
As3 0.750 0.250 0.000
As4 0.750 0.750 0.500

The most stable arrangement is arrangement ii, and the next structure is 0.013 eV/atom less stable.

Arrangement i

Entry from Alexandria: a relaxed structure of Sm2ThAs3 (PBE-GGA).

Values from the calculation:
Magnetization, μB per cell: 0.00

Unit cell a=8.412 b=8.412 c=10.285 alpha=108.14 beta=108.14 gamma=28.89
Atoms (fractional coordinates):
Sm1 0.169 0.169 0.335
Sm2 0.330 0.330 0.164
Sm3 0.670 0.670 0.836
Sm4 0.831 0.831 0.665
Th1 0.000 0.000 0.500
Th2 0.500 0.500 0.000
As1 0.028 0.028 0.805
As2 0.307 0.307 0.861
As3 0.362 0.362 0.473
As4 0.638 0.638 0.527
As5 0.693 0.693 0.139
As6 0.972 0.972 0.195

Arrangement ii

Entry from Alexandria: a relaxed structure of Sm2ThAs3 (PBE-GGA).

Values from the calculation:
Magnetization, μB per cell: 0.00

Unit cell a=7.313 b=7.313 c=7.313 alpha=146.32 beta=131.67 gamma=60.20
Atoms (fractional coordinates):
Sm1 0.167 0.167 0.000
Sm2 0.833 0.833 0.000
Th1 0.500 0.500 0.000
As1 0.000 0.500 0.500
As2 0.334 0.834 0.500
As3 0.666 0.166 0.500

The most stable arrangement is arrangement ii, and the next structure is 0.194 eV/atom less stable.

Arrangement i

Entry from Alexandria: a relaxed structure of SmTmAs2 (PBE-GGA).

Values from the calculation:
Magnetization, μB per cell: 0.00

Unit cell a=7.428 b=7.428 c=7.428 alpha=32.09 beta=32.09 gamma=32.09
Atoms (fractional coordinates):
Sm1 0.000 0.000 0.000
Tm1 0.171 0.171 0.171
As1 0.421 0.421 0.421
As2 0.584 0.584 0.584

Arrangement ii

Entry from Alexandria: a relaxed structure of SmTmAs2 (PBE-GGA).

Values from the calculation:
Magnetization, μB per cell: 0.00

Unit cell a=7.162 b=7.162 c=7.162 alpha=33.62 beta=33.62 gamma=33.62
Atoms (fractional coordinates):
Sm1 0.000 0.000 0.000
Tm1 0.500 0.500 0.500
As1 0.247 0.247 0.247
As2 0.753 0.753 0.753

The most stable arrangement is arrangement ii, and the next structure is 0.164 eV/atom less stable.

Arrangement i

Entry from Alexandria: a relaxed structure of SmYAs2 (PBE-GGA).

Values from the calculation:
Magnetization, μB per cell: 0.00

Unit cell a=7.484 b=7.484 c=7.484 alpha=32.06 beta=32.06 gamma=32.06
Atoms (fractional coordinates):
Sm1 0.000 0.000 0.000
Y1 0.171 0.171 0.171
As1 0.420 0.420 0.420
As2 0.585 0.585 0.585

Arrangement ii

Entry from Alexandria: a relaxed structure of SmYAs2 (PBE-GGA).

Values from the calculation:
Magnetization, μB per cell: 0.00

Unit cell a=7.222 b=7.222 c=7.222 alpha=131.81 beta=131.81 gamma=70.53
Atoms (fractional coordinates):
Sm1 0.375 0.625 0.750
Sm2 0.625 0.375 0.250
Y1 0.125 0.875 0.250
Y2 0.875 0.125 0.750
As1 0.123 0.373 0.750
As2 0.373 0.123 0.250
As3 0.627 0.877 0.750
As4 0.877 0.627 0.250

The most stable arrangement is arrangement ii, and the next structure is 0.159 eV/atom less stable.

Arrangement i

Entry from Alexandria: a relaxed structure of Sr5Sn2As6 (PBE-GGA).

Values from the calculation:
Magnetization, μB per cell: 0.00

Unit cell a=12.661 b=14.170 c=4.311 alpha=90.00 beta=90.00 gamma=90.00
Atoms (fractional coordinates):
Sr1 0.000 0.000 0.000
Sr2 0.121 0.245 0.000
Sr3 0.133 0.569 0.000
Sr4 0.367 0.069 0.000
Sr5 0.379 0.745 0.000
Sr6 0.500 0.500 0.000
Sr7 0.621 0.255 0.000
Sr8 0.633 0.931 0.000
Sr9 0.867 0.431 0.000
Sr10 0.879 0.755 0.000
Sn1 0.213 0.896 0.500
Sn2 0.287 0.396 0.500
Sn3 0.713 0.604 0.500
Sn4 0.787 0.104 0.500
As1 0.077 0.403 0.500
As2 0.131 0.803 0.000
As3 0.168 0.079 0.500
As4 0.332 0.579 0.500
As5 0.369 0.303 0.000
As6 0.423 0.903 0.500
As7 0.577 0.097 0.500
As8 0.631 0.697 0.000
As9 0.668 0.421 0.500
As10 0.832 0.921 0.500
As11 0.869 0.197 0.000
As12 0.923 0.597 0.500

Arrangement ii

Entry from Alexandria: a relaxed structure of Sr5Sn2As6 (PBE-GGA).

Values from the calculation:
Magnetization, μB per cell: 0.00

Unit cell a=12.069 b=14.829 c=4.321 alpha=90.00 beta=90.00 gamma=90.00
Atoms (fractional coordinates):
Sr1 0.000 0.000 0.000
Sr2 0.073 0.252 0.000
Sr3 0.166 0.511 0.000
Sr4 0.334 0.011 0.000
Sr5 0.427 0.752 0.000
Sr6 0.500 0.500 0.000
Sr7 0.573 0.248 0.000
Sr8 0.666 0.989 0.000
Sr9 0.834 0.489 0.000
Sr10 0.927 0.748 0.000
Sn1 0.175 0.721 0.500
Sn2 0.325 0.221 0.500
Sn3 0.675 0.779 0.500
Sn4 0.825 0.279 0.500
As1 0.007 0.603 0.500
As2 0.154 0.102 0.500
As3 0.180 0.833 0.000
As4 0.320 0.333 0.000
As5 0.346 0.602 0.500
As6 0.493 0.103 0.500
As7 0.507 0.897 0.500
As8 0.654 0.398 0.500
As9 0.680 0.667 0.000
As10 0.820 0.167 0.000
As11 0.846 0.898 0.500
As12 0.993 0.397 0.500

The most stable arrangement is arrangement i, and the next structure is 0.007 eV/atom less stable.

Arrangement i

Entry from Alexandria: a relaxed structure of Sr2SnAs2 (PBE-GGA).

Values from the calculation:
Magnetization, μB per cell: 0.00

Unit cell a=7.905 b=7.905 c=4.517 alpha=90.00 beta=90.00 gamma=90.00
Atoms (fractional coordinates):
Sr1 0.178 0.322 0.000
Sr2 0.322 0.822 0.000
Sr3 0.678 0.178 0.000
Sr4 0.822 0.678 0.000
Sn1 0.000 0.000 0.500
Sn2 0.500 0.500 0.500
As1 0.118 0.618 0.500
As2 0.382 0.118 0.500
As3 0.618 0.882 0.500
As4 0.882 0.382 0.500

Arrangement ii

Entry from Alexandria: a relaxed structure of Sr2SnAs2 (PBE-GGA).

Values from the calculation:
Magnetization, μB per cell: 0.00

Unit cell a=10.008 b=10.008 c=10.008 alpha=157.44 beta=157.44 gamma=32.12
Atoms (fractional coordinates):
Sr1 0.116 0.116 0.000
Sr2 0.884 0.884 0.000
Sn1 0.500 0.500 0.000
As1 0.250 0.750 0.500
As2 0.750 0.250 0.500

The most stable arrangement is arrangement i, and the next structure is 0.193 eV/atom less stable.

Arrangement i

Entry from Alexandria: a relaxed structure of SrSnAs3 (PBE-GGA).

Values from the calculation:
Magnetization, μB per cell: 0.00

Unit cell a=5.310 b=5.310 c=5.310 alpha=90.00 beta=90.00 gamma=90.00
Atoms (fractional coordinates):
Sr1 0.000 0.000 0.000
Sn1 0.500 0.500 0.500
As1 0.000 0.500 0.500
As2 0.500 0.000 0.500
As3 0.500 0.500 0.000

Arrangement ii

Entry from Alexandria: a relaxed structure of SrSnAs3 (PBE-GGA).

Values from the calculation:
Magnetization, μB per cell: 0.00

Unit cell a=5.551 b=5.551 c=5.551 alpha=90.00 beta=90.00 gamma=90.00
Atoms (fractional coordinates):
Sr1 0.000 0.000 0.000
Sn1 0.500 0.500 0.500
As1 0.000 0.000 0.500
As2 0.000 0.500 0.000
As3 0.500 0.000 0.000

The most stable arrangement is arrangement i, and the next structure is 0.730 eV/atom less stable.

Arrangement i

Entry from Alexandria: a relaxed structure of TaSn3As (PBE-GGA).

Values from the calculation:
Magnetization, μB per cell: 1.01

Unit cell a=5.388 b=5.388 c=5.388 alpha=90.00 beta=90.00 gamma=90.00
Atoms (fractional coordinates):
Ta1 0.000 0.000 0.000
Sn1 0.000 0.000 0.500
Sn2 0.000 0.500 0.000
Sn3 0.500 0.000 0.000
As1 0.500 0.500 0.500

Arrangement ii

Entry from Alexandria: a relaxed structure of TaSn3As (PBE-GGA).

Values from the calculation:
Magnetization, μB per cell: 0.00

Unit cell a=5.205 b=5.205 c=5.205 alpha=90.00 beta=90.00 gamma=90.00
Atoms (fractional coordinates):
Ta1 0.000 0.000 0.000
Sn1 0.000 0.500 0.500
Sn2 0.500 0.000 0.500
Sn3 0.500 0.500 0.000
As1 0.500 0.500 0.500

The most stable arrangement is arrangement i, and the next structure is 0.539 eV/atom less stable.

Arrangement i

Entry from Alexandria: a relaxed structure of Ta2SnAs (PBE-GGA).

Values from the calculation:
Magnetization, μB per cell: 0.00

Unit cell a=4.702 b=4.702 c=4.702 alpha=60.00 beta=60.00 gamma=60.00
Atoms (fractional coordinates):
Ta1 0.250 0.250 0.250
Ta2 0.750 0.750 0.750
Sn1 0.000 0.000 0.000
As1 0.500 0.500 0.500

Arrangement ii

Entry from Alexandria: a relaxed structure of Ta2SnAs (PBE-GGA).

Values from the calculation:
Magnetization, μB per cell: 0.00

Unit cell a=10.244 b=10.244 c=10.244 alpha=157.07 beta=157.07 gamma=32.65
Atoms (fractional coordinates):
Ta1 0.122 0.625 0.997
Ta2 0.375 0.372 0.497
Ta3 0.628 0.125 0.003
Ta4 0.875 0.878 0.503
Sn1 0.250 0.750 0.500
Sn2 0.500 0.500 0.000
As1 0.000 0.000 0.000
As2 0.750 0.250 0.500

The most stable arrangement is arrangement i, and the next structure is 0.230 eV/atom less stable.

Arrangement i

Entry from Alexandria: a relaxed structure of Tc2SnAs (PBE-GGA).

Values from the calculation:
Magnetization, μB per cell: 0.00

Unit cell a=3.136 b=3.136 c=6.498 alpha=90.00 beta=90.00 gamma=90.00
Atoms (fractional coordinates):
Tc1 0.000 0.000 0.226
Tc2 0.000 0.000 0.774
Sn1 0.500 0.500 0.500
As1 0.500 0.500 0.000

Arrangement ii

Entry from Alexandria: a relaxed structure of Tc2SnAs (PBE-GGA).

Values from the calculation:
Magnetization, μB per cell: 0.00

Unit cell a=8.127 b=8.127 c=8.127 alpha=22.08 beta=22.08 gamma=22.08
Atoms (fractional coordinates):
Tc1 0.000 0.000 0.000
Tc2 0.179 0.179 0.179
Sn1 0.423 0.423 0.423
As1 0.590 0.590 0.590

The most stable arrangement is arrangement i, and the next structure is 0.058 eV/atom less stable.

Arrangement i

Entry from Alexandria: a relaxed structure of Tc2SnAs (PBE-GGA).

Values from the calculation:
Magnetization, μB per cell: 2.07

Unit cell a=5.850 b=5.850 c=5.850 alpha=103.17 beta=103.17 gamma=122.97
Atoms (fractional coordinates):
Tc1 0.060 0.625 0.935
Tc2 0.375 0.310 0.435
Tc3 0.690 0.125 0.065
Tc4 0.875 0.940 0.565
Sn1 0.250 0.750 0.500
Sn2 0.500 0.500 0.000
As1 0.000 0.000 0.000
As2 0.750 0.250 0.500

Arrangement ii

Entry from Alexandria: a relaxed structure of Tc2SnAs (PBE-GGA).

Values from the calculation:
Magnetization, μB per cell: 0.00

Unit cell a=4.493 b=4.493 c=4.493 alpha=60.00 beta=60.00 gamma=60.00
Atoms (fractional coordinates):
Tc1 0.250 0.250 0.250
Tc2 0.750 0.750 0.750
Sn1 0.000 0.000 0.000
As1 0.500 0.500 0.500

The most stable arrangement is arrangement ii, and the next structure is 0.358 eV/atom less stable.